A relaxed La2TeMoO crystal, computed with PBE+U.

Lattice parameters (Å, degrees): 4.729 6.152 4.729 90.00 90.00 90.00
Site moments in Bohr magnetons follow the coordinates.
Positions (direct):
O1 0.000 0.000 0.000  0.00
Mo1 0.500 0.500 0.500  3.84
La1 0.500 0.000 0.000  -0.11
La2 0.000 0.000 0.500  -0.10
Te1 0.000 0.500 0.000  -0.06

V ... 27.511 A^3/atom
Density of states at the Fermi level ... 0.4357 states/eV per atom
Theoretical density ... 6.25 g/cm³
VASP energy ... -29.17 eV per cell
Space-group type ... No. 123